First-principles (PBE) data for crystalline TaSnI3 at its relaxed geometry, as listed in Alexandria.

crystal system	cubic
size of the total moment	4.02	μB per cell
polymorph energy (0 for the lowest one)	610	meV per atom
ΔE_f (raw)	1.071	eV per atom
uncorrected energy	-3.030	eV/atom

Cell and atoms, written as CIF:
```
data_TaSnI3
_cell_length_a 6.0671
_cell_length_b 6.0671
_cell_length_c 6.0671
_cell_angle_alpha 90.00
_cell_angle_beta 90.00
_cell_angle_gamma 90.00
_space_group_name_H-M_alt 'P m -3 m'
_space_group_IT_number 221
_space_group_name_Hall '-P 4 2 3'
loop_
_atom_site_label
_atom_site_fract_x
_atom_site_fract_y
_atom_site_fract_z
Ta1 0.0000 0.0000 0.0000
Sn1 0.5000 0.5000 0.5000
I1 0.0000 0.5000 0.5000
```